# EuRhAu4 (PBE, optimized geometry)
data_EuRhAu4
_cell_length_a 7.838
_cell_length_b 7.838
_cell_length_c 7.838
_cell_angle_alpha 90.00
_cell_angle_beta 90.00
_cell_angle_gamma 90.00
_space_group_name_H-M_alt 'F -4 3 m'
_space_group_IT_number 216
_space_group_name_Hall 'F -4 2 3'
loop_
_atom_site_label
_atom_site_type_symbol
_atom_site_fract_x
_atom_site_fract_y
_atom_site_fract_z
Eu1 Eu 0.000 0.000 0.000
Rh1 Rh 0.250 0.250 0.250
Au1 Au 0.125 0.125 0.625
# calculated formation energy: -21.27 kJ/mol of atoms
# M_tot: 6.10 μB per formula unit
# total DFT energy (no corrections): -128.2 eV/cell



# Eu2RhAu (PBE, optimized geometry)
data_Eu2RhAu
_cell_length_a 3.563
_cell_length_b 3.563
_cell_length_c 7.519
_cell_angle_alpha 90.00
_cell_angle_beta 90.00
_cell_angle_gamma 90.00
_space_group_name_H-M_alt 'P 4/m m m'
_space_group_IT_number 123
_space_group_name_Hall '-P 4 2'
loop_
_atom_site_label
_atom_site_type_symbol
_atom_site_fract_x
_atom_site_fract_y
_atom_site_fract_z
Eu1 Eu 0.000 0.000 0.233
Rh1 Rh 0.500 0.500 0.000
Au1 Au 0.500 0.500 0.500
# calculated formation energy: -55.99 kJ/mol of atoms
# M_tot: 13.99 μB per formula unit
# total DFT energy (no corrections): -33.5 eV/cell